TlGaHg2 | PBE | optimized geometry

Lattice parameters (Å, degrees): 5.9713 3.2788 21.4336 90.00 90.00 90.00
Last column: nearest neighbours and their distance in Å.
Fractional positions:
Tl (0.0421, 0.2500, 0.1331)  5 Hg 3.14-3.46, 2 Tl 3.28, 4 Ga 3.43-3.50
Tl (0.4579, 0.7500, 0.6331)  5 Hg 3.14-3.46, 2 Tl 3.28, 4 Ga 3.43-3.50
Tl (0.5421, 0.2500, 0.3669)  5 Hg 3.14-3.46, 2 Tl 3.28, 4 Ga 3.43-3.50
Tl (0.9579, 0.7500, 0.8669)  5 Hg 3.14-3.46, 2 Tl 3.28, 4 Ga 3.43-3.50
Ga (0.0495, 0.7500, 0.3962)  5 Hg 2.88-3.07
Ga (0.4505, 0.2500, 0.8962)  5 Hg 2.88-3.07
Ga (0.5495, 0.7500, 0.1038)  5 Hg 2.88-3.07
Ga (0.9505, 0.2500, 0.6038)  5 Hg 2.88-3.07
Hg (0.0195, 0.2500, 0.2796)  2 Ga 2.99, 1 Tl 3.14, 4 Hg 3.24-3.28
Hg (0.2366, 0.7500, 0.0016)  3 Ga 2.88-3.07
Hg (0.2634, 0.2500, 0.5016)  3 Ga 2.88-3.07
Hg (0.4805, 0.7500, 0.7796)  2 Ga 2.99, 1 Tl 3.14, 4 Hg 3.24-3.28
Hg (0.5195, 0.2500, 0.2204)  2 Ga 2.99, 1 Tl 3.14, 4 Hg 3.24-3.28
Hg (0.7366, 0.7500, 0.4984)  3 Ga 2.88-3.07
Hg (0.7634, 0.2500, 0.9984)  3 Ga 2.88-3.07
Hg (0.9805, 0.7500, 0.7204)  2 Ga 2.99, 1 Tl 3.14, 4 Hg 3.24-3.28

Values from the calculation:
For the total energy, the calculation gives -1.46 eV/atom. The energy of formation from the pure elements is 0.91 kcal/mol of atoms. The space-group type is Pnma.